No. 1
Compound: Ca6Hg3Pb
Source: Alexandria via LeMat-Bulk
Functional: GGA-PBE
Structure: optimized geometry

For the calculated density, the calculation gives 5.806 Mg/m³. Its density of states at the Fermi level is 13.965 states/eV/cell. The crystal system is monoclinic.

abc: 9.6498 5.4029 11.9836
angles: 90.00 106.11 90.00
With the nearest neighbours (Å) after each atom.
Space group P2_1/m (No. 11)
Inequivalent atoms, fractional coordinates:
Ca 0.0159 0.2500 0.4008  4 Hg 3.18-3.55
Ca 0.1233 0.7500 0.1802  5 Hg 3.10-3.36, 1 Pb 3.26
Ca 0.2539 0.2500 0.9916  4 Hg 3.27-3.48, 3 Pb 3.38-3.64, 4 Ca 3.62-3.65
Ca 0.3424 0.7500 0.8230  3 Hg 3.27-3.40, 3 Pb 3.39-3.49, 3 Ca 3.62-3.66
Ca 0.3567 0.2500 0.3077  8 Ca 3.45-3.76, 4 Hg 3.49-3.86, 2 Pb 3.68
Ca 0.3936 0.2500 0.6027  3 Hg 3.08-3.22, 1 Pb 3.21
Hg 0.0352 0.7500 0.8884  7 Ca 3.10-3.44
Hg 0.1373 0.2500 0.7085  7 Ca 3.08-3.40
Hg 0.2755 0.7500 0.4624  6 Ca 3.22-3.49
Pb 0.4367 0.7500 0.1260  7 Ca 3.21-3.49

No. 2
Compound: Er4CdAg2Hg
Source: Alexandria via LeMat-Bulk
Functional: GGA-PBE
Structure: optimized geometry

For the calculated density, the calculation gives 10.204 Mg/m³. Its density of states at the Fermi level is 19.168 states/eV/cell. The crystal system is trigonal.

abc: 5.1683 5.1683 25.2779
angles: 90.00 90.00 120.00
With the nearest neighbours (Å) after each atom.
Space group R-3m (No. 166, hexagonal axes)
Inequivalent atoms, fractional coordinates:
Er 0.0000 0.0000 0.1236  4 Ag 3.11-3.13, 1 Hg 3.13, 3 Cd 3.18
Er 0.0000 0.0000 0.3738  3 Hg 3.15, 1 Cd 3.19, 4 Ag 3.20-3.21
Cd 0.0000 0.0000 0.5000  8 Er 3.18-3.19
Ag 0.0000 0.0000 0.2468  8 Er 3.11-3.21
Hg 0.0000 0.0000 0.0000  8 Er 3.13-3.15

| no. | energy relative to the elements (meV per atom) |
| --- | --- |
| 1 | -458 |
| 2 | -362 |